1.
Material: CsSi2Sb2
Method: DFT, PBE-GGA
State: relaxed Values from VASP.

Output
- V (Å³ per atom) = 33.17
- formation energy (no corrections) (eV/f.u.) = 0.203

```
&SYSTEM
  ibrav = 0, nat = 5, ntyp = 3
/
ATOMIC_SPECIES
Cs 132.91 Cs.upf
Si 28.09 Si.upf
Sb 121.76 Sb.upf
ATOMIC_POSITIONS crystal
Cs 0.0000 0.0000 0.0000
Si 0.2500 0.7500 0.5000
Si 0.7500 0.2500 0.5000
Sb 0.3383 0.3383 0.0000
Sb 0.6617 0.6617 0.0000
CELL_PARAMETERS angstrom
-2.4676 2.4676 6.8100
2.4676 -2.4676 6.8100
2.4676 2.4676 -6.8100
```

2.
Material: MnBe2Hg
Method: DFT, PBE-GGA
State: relaxed Values from VASP.

Output
- V (Å³ per atom) = 12.66
- formation energy (eV per formula unit) = 1.2

```
&SYSTEM
  ibrav = 0, nat = 4, ntyp = 3
/
ATOMIC_SPECIES
Mn 54.94 Mn.upf
Be 9.01 Be.upf
Hg 200.59 Hg.upf
ATOMIC_POSITIONS crystal
Mn 0.0000 0.0000 0.0000
Be 0.0000 0.0000 0.3771
Be 0.5000 0.5000 0.2079
Hg 0.5000 0.5000 0.6652
CELL_PARAMETERS angstrom
2.8172 0.0000 0.0000
0.0000 2.8172 0.0000
0.0000 0.0000 6.3791
```

3.
Material: KRbNa2Te
Method: DFT, PBE-GGA
State: relaxed Values from VASP.

Output
- V (Å³ per atom) = 52.77
- formation energy (no corrections) (eV/f.u.) = -2.102

```
&SYSTEM
  ibrav = 0, nat = 5, ntyp = 4
/
ATOMIC_SPECIES
K 39.10 K.upf
Rb 85.47 Rb.upf
Na 22.99 Na.upf
Te 127.60 Te.upf
ATOMIC_POSITIONS crystal
K 0.0000 0.0000 0.0000
Rb 0.5000 0.5000 0.0000
Na 0.0000 0.5000 0.5000
Na 0.5000 0.0000 0.5000
Te 0.0000 0.0000 0.5000
CELL_PARAMETERS angstrom
6.2021 0.0000 0.0000
0.0000 6.2021 0.0000
0.0000 0.0000 6.8596
```

4.
Material: HfTlSe3
Method: DFT, PBE-GGA
State: relaxed Values from VASP.

Output
- V (Å³ per atom) = 28.46
- formation energy (no corrections) (eV/f.u.) = 3.639

```
&SYSTEM
  ibrav = 0, nat = 5, ntyp = 3
/
ATOMIC_SPECIES
Hf 178.49 Hf.upf
Tl 204.38 Tl.upf
Se 78.96 Se.upf
ATOMIC_POSITIONS crystal
Hf 0.0000 0.0000 0.0000
Tl 0.5000 0.5000 0.5000
Se 0.0000 0.5000 0.5000
Se 0.5000 0.0000 0.5000
Se 0.5000 0.5000 0.0000
CELL_PARAMETERS angstrom
5.2207 0.0000 0.0000
0.0000 5.2207 0.0000
0.0000 0.0000 5.2207
```

5.
Material: Er11Cd9Ir4
Method: DFT, PBE-GGA
State: relaxed Values from VASP.

Output
- V (Å³ per atom) = 23.68
- formation energy (eV per formula unit) = -12.9

```
&SYSTEM
  ibrav = 0, nat = 24, ntyp = 3
/
ATOMIC_SPECIES
Er 167.26 Er.upf
Cd 112.41 Cd.upf
Ir 192.22 Ir.upf
ATOMIC_POSITIONS crystal
Er 0.0000 0.0000 0.0000
Er 0.0865 0.4175 0.0000
Er 0.1632 0.8368 0.0000
Er 0.3001 0.3001 0.0000
Er 0.3669 0.6331 0.0000
Er 0.4175 0.0865 0.0000
Er 0.5825 0.9135 0.0000
Er 0.6331 0.3669 0.0000
Er 0.6999 0.6999 0.0000
Er 0.8368 0.1632 0.0000
Er 0.9135 0.5825 0.0000
Cd 0.0648 0.2124 0.5000
Cd 0.1486 0.6334 0.5000
Cd 0.2124 0.0648 0.5000
Cd 0.3666 0.8514 0.5000
Cd 0.5000 0.5000 0.5000
Cd 0.6334 0.1486 0.5000
Cd 0.7876 0.9352 0.5000
Cd 0.8514 0.3666 0.5000
Cd 0.9352 0.7876 0.5000
Ir 0.2582 0.4529 0.5000
Ir 0.4529 0.2582 0.5000
Ir 0.5471 0.7418 0.5000
Ir 0.7418 0.5471 0.5000
CELL_PARAMETERS angstrom
7.1820 -10.7435 0.0000
7.1820 10.7435 0.0000
0.0000 0.0000 3.6833
```

6.
Material: USiTc2
Method: DFT, PBE-GGA
State: relaxed Values from VASP.

Output
- V (Å³ per atom) = 16.08
- formation energy (no corrections) (eV/f.u.) = -1.470

```
&SYSTEM
  ibrav = 0, nat = 4, ntyp = 3
/
ATOMIC_SPECIES
U 238.03 U.upf
Si 28.09 Si.upf
Tc 98.00 Tc.upf
ATOMIC_POSITIONS crystal
U 0.0000 0.0000 0.0000
Si 0.5000 0.5000 0.0000
Tc 0.0000 0.5000 0.5000
Tc 0.5000 0.0000 0.5000
CELL_PARAMETERS angstrom
4.2811 0.0000 0.0000
0.0000 4.2811 0.0000
0.0000 0.0000 3.5091
```